1.
A relaxed CaCeIn6 crystal, computed with PBE.

Results
- SG = P-6m2 (187)
- crystal system = hexagonal
- VASP energy (eV per cell) = -27.06
- polymorph energy (0 for the lowest one) (meV/atom) = 27
- ΔH_f (0 K) (kJ/mol of atoms) = -32.4

a = 5.248 Å, b = 6.802 Å, c = 6.802 Å
α = 119.98°, β = 90.00°, γ = 90.00°
Site moments in Bohr magnetons follow the coordinates.
Element x y z (fractional)
Ca1 0.500 0.417 0.583  -0.01
In1 0.500 0.908 0.092  0.00
In2 0.000 0.588 0.412  0.01
In3 0.500 0.434 0.092  0.00
In4 0.500 0.908 0.566  0.00
In5 0.000 0.074 0.412  0.01
In6 0.000 0.588 0.926  0.01
Ce1 0.000 0.083 0.917  0.71

=====

2.
A relaxed MnZnIr2 crystal, computed with PBE.

Results
- SG = R-3m (166)
- crystal system = trigonal
- VASP energy (eV per cell) = -28.56
- ΔH_f (0 K) (kJ/mol of atoms) = -9.4

a = 8.639 Å, b = 8.639 Å, c = 8.639 Å
α = 18.28°, β = 18.28°, γ = 18.28°
Site moments in Bohr magnetons follow the coordinates.
Element x y z (fractional)
Mn1 0.250 0.250 0.250  1.96
Ir1 0.996 0.996 0.996  -0.17
Ir2 0.504 0.504 0.504  -0.17
Zn1 0.750 0.750 0.750  0.00

=====

3.
A relaxed PrSm2Al6 crystal, computed with PBE.

Results
- SG = P6/mmm (191)
- crystal system = hexagonal
- VASP energy (eV per cell) = -40.98
- polymorph energy (0 for the lowest one) (meV/atom) = 0
- ΔH_f (0 K) (kJ/mol of atoms) = -46.2

a = 3.684 Å, b = 7.970 Å, c = 7.970 Å
α = 120.00°, β = 90.00°, γ = 90.00°
Element x y z (fractional)
Sm1 0.000 0.333 0.667
Sm2 0.000 0.667 0.333
Pr1 0.000 0.000 0.000
Al1 0.500 0.000 0.665
Al2 0.500 0.000 0.335
Al3 0.500 0.665 0.000
Al4 0.500 0.665 0.665
Al5 0.500 0.335 0.000
Al6 0.500 0.335 0.335

=====

4.
A relaxed La3BiRh8 crystal, computed with PBE.

Results
- SG = R3m (160)
- crystal system = trigonal
- VASP energy (eV per cell) = -83.89
- ΔH_f (0 K) (kJ/mol of atoms) = -51.6

a = 5.433 Å, b = 5.433 Å, c = 9.426 Å
α = 73.25°, β = 73.25°, γ = 60.00°
Element x y z (fractional)
Rh1 0.439 0.938 0.685
Rh2 0.938 0.439 0.685
Rh3 0.938 0.437 0.189
Rh4 0.437 0.938 0.189
Rh5 0.938 0.938 0.685
Rh6 0.188 0.188 0.436
Rh7 0.437 0.437 0.189
Rh8 0.688 0.688 0.937
La1 0.376 0.376 0.873
La2 0.997 0.997 0.008
La3 0.502 0.502 0.494
Bi1 0.873 0.873 0.381

=====

For the records above, the corresponding volume values read 210.3 55.4 202.7 227.2 Å³ per cell.